# 1
A plane-wave DFT calculation with PBE-GGA was carried out for a relaxed SmDy2Sn crystal.

For the mass density, the calculation gives 8.66 Mg/m³. The total DFT energy (no corrections) comes out at -4.72 eV/atom. As for the total magnetic moment: 0.00 μB/f.u. As for the crystal system: cubic. The formation energy from the elements is -0.2417 eV/atom.

The space group is F-43m (No. 216) and the conventional cell measures 7.694, 7.694 and 7.694 Å, with angles of 90.00, 90.00 and 90.00 degrees. The inequivalent atoms are Sm at (0.000, 0.000, 0.000), Dy at (0.000, 0.000, 0.500), Dy at (0.250, 0.250, 0.750) and Sn at (0.250, 0.250, 0.250).



# 2
A plane-wave DFT calculation with PBE-GGA was carried out for a relaxed Pr7TlAu4 crystal.

For the mass density, the calculation gives 9.36 Mg/m³. The total DFT energy (no corrections) comes out at -4.48 eV/atom. As for the total magnetic moment: 0.00 μB/f.u. As for the crystal system: monoclinic. The formation energy from the elements is -0.4016 eV/atom.

The space group is C2/m (No. 12) and the conventional cell measures 14.490, 5.900 and 9.853 Å, with angles of 90.00, 123.56 and 90.00 degrees. The inequivalent atoms are Pr at (0.000, 0.000, 0.000), Pr at (0.062, 0.500, 0.384), Pr at (0.204, 0.500, 0.912), Pr at (0.214, 0.000, 0.667), Tl at (0.000, 0.500, 0.000), Au at (0.036, 0.000, 0.723) and Au at (0.198, 0.000, 0.345).



# 3
A plane-wave DFT calculation with PBE-GGA was carried out for a relaxed TcHgSCl2 crystal.

For the mass density, the calculation gives 5.94 Mg/m³. The total DFT energy (no corrections) comes out at -3.80 eV/atom. As for the total magnetic moment: 0.89 μB/f.u. As for the crystal system: tetragonal. The formation energy (no corrections) is -0.10 eV per atom.

The space group is P4/mmm (No. 123) and the conventional cell measures 4.977, 4.977 and 4.531 Å, with angles of 90.00, 90.00 and 90.00 degrees. The inequivalent atoms are Tc at (0.000, 0.000, 0.000), Hg at (0.500, 0.500, 0.500), S at (0.000, 0.000, 0.500) and Cl at (0.000, 0.500, 0.000).



# 4
A plane-wave DFT calculation with PBE-GGA was carried out for a relaxed HfTi2NiN crystal.

For the mass density, the calculation gives 8.03 Mg/m³. The total DFT energy (no corrections) comes out at -8.82 eV/atom. As for the total magnetic moment: 0.00 μB/f.u. As for the crystal system: tetragonal. The formation energy (no corrections) is -0.85 eV per atom.

The space group is P4/mmm (No. 123) and the conventional cell measures 4.058, 4.058 and 4.355 Å, with angles of 90.00, 90.00 and 90.00 degrees. The inequivalent atoms are Hf at (0.000, 0.000, 0.000), Ti at (0.000, 0.500, 0.500), Ni at (0.500, 0.500, 0.000) and N at (0.000, 0.000, 0.500).



# 5
A plane-wave DFT calculation with PBE-GGA was carried out for a relaxed Li2NdCu4 crystal.

For the mass density, the calculation gives 6.17 Mg/m³. The total DFT energy (no corrections) comes out at -3.69 eV/atom. As for the total magnetic moment: 0.00 μB/f.u. As for the crystal system: monoclinic. The formation energy from the elements is -0.1233 eV/atom.

The space group is C2/m (No. 12) and the conventional cell measures 8.277, 6.760 and 4.879 Å, with angles of 90.00, 125.56 and 90.00 degrees. The inequivalent atoms are Li at (0.001, 0.000, 0.251), Nd at (0.000, 0.500, 0.500) and Cu at (0.190, 0.310, 0.190).



# 6
A plane-wave DFT calculation with PBE-GGA was carried out for a relaxed NdMgGa2Cu crystal.

For the mass density, the calculation gives 6.16 Mg/m³. The total DFT energy (no corrections) comes out at -3.71 eV/atom. As for the total magnetic moment: 0.00 μB/f.u. As for the crystal system: tetragonal. The formation energy from the elements is -0.4070 eV/atom.

The space group is I-4m2 (No. 119) and the conventional cell measures 4.239, 4.239 and 11.151 Å, with angles of 90.00, 90.00 and 90.00 degrees. The inequivalent atoms are Nd at (0.000, 0.000, 0.000), Mg at (0.000, 0.500, 0.250), Ga at (0.000, 0.000, 0.389) and Cu at (0.000, 0.500, 0.750).



# 7
A plane-wave DFT calculation with PBE-GGA was carried out for a relaxed PmGa4PtAu2 crystal.

For the mass density, the calculation gives 10.44 Mg/m³. The total DFT energy (no corrections) comes out at -4.20 eV/atom. As for the total magnetic moment: 0.00 μB/f.u. As for the crystal system: trigonal. The formation energy from the elements is -0.5188 eV/atom.

The space group is R-3m (No. 166, hexagonal axes) and the conventional cell measures 4.3805, 4.3805 and 29.0863 Å, with angles of 90.00, 90.00 and 120.00 degrees. The inequivalent atoms are Pm at (0.0000, 0.0000, 0.0000), Ga at (0.0000, 0.0000, 0.1357), Ga at (0.0000, 0.0000, 0.4112), Pt at (0.0000, 0.0000, 0.5000) and Au at (0.0000, 0.0000, 0.2720).



# 8
A plane-wave DFT calculation with PBE-GGA was carried out for a relaxed Zr4In2Fe crystal.

For the mass density, the calculation gives 6.44 Mg/m³. The total DFT energy (no corrections) comes out at -6.76 eV/atom. As for the total magnetic moment: 0.00 μB/f.u. As for the crystal system: tetragonal. The formation energy from the elements is 0.1154 eV/atom.

The space group is I4/mmm (No. 139) and the conventional cell measures 4.660, 4.660 and 15.456 Å, with angles of 90.00, 90.00 and 90.00 degrees. The inequivalent atoms are Zr at (0.000, 0.000, 0.169), Zr at (0.000, 0.500, 0.000), In at (0.000, 0.000, 0.360) and Fe at (0.000, 0.000, 0.000).



# 9
A plane-wave DFT calculation with PBE-GGA was carried out for a relaxed SrPtCl2 crystal.

For the mass density, the calculation gives 6.57 Mg/m³. The total DFT energy (no corrections) comes out at -3.76 eV/atom. As for the total magnetic moment: 0.00 μB/f.u. As for the crystal system: trigonal. The formation energy (no corrections) is -0.90 eV per atom.

The space group is R-3m (No. 166, hexagonal axes) and the conventional cell measures 4.6372, 4.6372 and 14.3910 Å, with angles of 90.00, 90.00 and 120.00 degrees. The inequivalent atoms are Sr at (0.0000, 0.0000, 0.0000), Pt at (0.0000, 0.0000, 0.5000) and Cl at (0.0000, 0.0000, 0.2371).



# 10
A plane-wave DFT calculation with PBE-GGA was carried out for a relaxed Cr4InNi crystal.

For the mass density, the calculation gives 7.96 Mg/m³. The total DFT energy (no corrections) comes out at -7.47 eV/atom. As for the total magnetic moment: 0.00 μB/f.u. As for the crystal system: cubic. The formation energy from the elements is 0.3675 eV/atom.

The space group is F-43m (No. 216) and the conventional cell measures 6.827, 6.827 and 6.827 Å, with angles of 90.00, 90.00 and 90.00 degrees. The inequivalent atoms are Cr at (0.124, 0.124, 0.124), In at (0.000, 0.000, 0.500) and Ni at (0.250, 0.250, 0.750).



# 11
A plane-wave DFT calculation with PBE-GGA was carried out for a relaxed TbDy6Y2Sc crystal.

For the mass density, the calculation gives 7.19 Mg/m³. The total DFT energy (no corrections) comes out at -5.02 eV/atom. As for the total magnetic moment: 0.00 μB/f.u. As for the crystal system: monoclinic. The formation energy from the elements is 0.1316 eV/atom.

The space group is C2/c (No. 15) and the conventional cell measures 9.070, 14.851 and 9.365 Å, with angles of 90.00, 96.67 and 90.00 degrees. The inequivalent atoms are Tb at (0.000, 0.024, 0.250), Dy at (0.060, 0.186, 0.944), Dy at (0.099, 0.391, 0.116), Dy at (0.215, 0.221, 0.309), Y at (0.246, 0.449, 0.453) and Sc at (0.000, 0.414, 0.750).



# 12
A plane-wave DFT calculation with PBE-GGA was carried out for a relaxed La4ReOs crystal.

For the mass density, the calculation gives 10.03 Mg/m³. The total DFT energy (no corrections) comes out at -5.90 eV/atom. As for the total magnetic moment: 1.03 μB/f.u. As for the crystal system: cubic. The formation energy from the elements is 1.3274 eV/atom.

The space group is F-43m (No. 216) and the conventional cell measures 8.513, 8.513 and 8.513 Å, with angles of 90.00, 90.00 and 90.00 degrees. The inequivalent atoms are La at (0.125, 0.125, 0.125), Re at (0.000, 0.000, 0.500) and Os at (0.250, 0.250, 0.750).



# 13
A plane-wave DFT calculation with PBE-GGA was carried out for a relaxed Pr2ZrUP4 crystal.

For the mass density, the calculation gives 6.71 Mg/m³. The total DFT energy (no corrections) comes out at -7.71 eV/atom. As for the total magnetic moment: 2.02 μB/f.u. As for the crystal system: monoclinic. The formation energy from the elements is -1.3299 eV/atom.

The space group is P2/m (No. 10) and the conventional cell measures 6.892, 3.991 and 7.000 Å, with angles of 90.00, 109.01 and 90.00 degrees. The inequivalent atoms are Pr at (0.000, 0.000, 0.000), Pr at (0.500, 0.500, 0.000), Zr at (0.000, 0.500, 0.500), U at (0.500, 0.000, 0.500), P at (0.239, 0.000, 0.723) and P at (0.254, 0.500, 0.274).